First-principles (GGA-PBE) data for an optimized crystal structure of FeNi2P, as listed in the Alexandria database.

Cell: 4.4127 4.4127 4.4127 Å, 138.23 127.93 68.86°
Last column: nearest neighbours and their distance in Å.
Atoms (fractional coordinates):
Fe: 0.2778 0.7778 0.5000  2 P 2.28, 6 Ni 2.51-2.53
Ni: 0.9966 0.9966 0.0000  4 P 2.50, 4 Fe 2.51-2.58, 4 Ni 2.53-2.55
Ni: 0.7207 0.2207 0.5000  2 P 2.22
P: 0.5049 0.5049 0.0000  2 Ni 2.22, 2 Fe 2.28

Results
Calculated volume, Å³/cell: 44.3
Spin magnetization, μB/cell: 2.64
DFT formation energy, eV per atom: -0.204